1 | # LaPm4Mg, optimized geometry, DFT PBE
# N(E_F): 32.59 states/eV/cell
# magnetization: 0.0 μB per cell
data_LaPm4Mg
_cell_length_a 5.058
_cell_length_b 15.348
_cell_length_c 10.188
_cell_angle_alpha 90.00
_cell_angle_beta 90.00
_cell_angle_gamma 90.00
_symmetry_space_group_name_H-M 'C m c 21'
_symmetry_Int_Tables_number 36
_symmetry_space_group_name_Hall 'C 2c -2'
loop_
_atom_site_label
_atom_site_type_symbol
_atom_site_fract_x
_atom_site_fract_y
_atom_site_fract_z
La1 La 0.000 0.169 0.000
Pm1 Pm 0.000 0.002 0.748
Pm2 Pm 0.000 0.167 0.494
Pm3 Pm 0.000 0.333 0.747
Pm4 Pm 0.000 0.498 0.998
Mg1 Mg 0.000 0.334 0.247

***

2 | # LaPm4Mg, optimized geometry, DFT PBE
# N(E_F): 8.17 states/eV/cell
# magnetization: 0.0 μB per cell
data_LaPm4Mg
_cell_length_a 3.691
_cell_length_b 3.691
_cell_length_c 14.605
_cell_angle_alpha 90.00
_cell_angle_beta 90.00
_cell_angle_gamma 90.00
_symmetry_space_group_name_H-M 'P 4/m m m'
_symmetry_Int_Tables_number 123
_symmetry_space_group_name_Hall '-P 4 2'
loop_
_atom_site_label
_atom_site_type_symbol
_atom_site_fract_x
_atom_site_fract_y
_atom_site_fract_z
La1 La 0.000 0.000 0.000
Pm1 Pm 0.000 0.000 0.353
Pm2 Pm 0.500 0.500 0.181
Mg1 Mg 0.500 0.500 0.500

***

Pick 2: it beats the second-best structure by 2.8 kJ/mol of atoms.

***

1 | # La2Pm3Mg, optimized geometry, DFT PBE
# N(E_F): 18.70 states/eV/cell
# magnetization: 0.0 μB per cell
data_La2Pm3Mg
_cell_length_a 5.947
_cell_length_b 6.531
_cell_length_c 10.318
_cell_angle_alpha 90.00
_cell_angle_beta 90.00
_cell_angle_gamma 90.00
_symmetry_space_group_name_H-M 'I m m m'
_symmetry_Int_Tables_number 71
_symmetry_space_group_name_Hall '-I 2 2'
loop_
_atom_site_label
_atom_site_type_symbol
_atom_site_fract_x
_atom_site_fract_y
_atom_site_fract_z
La1 La 0.000 0.000 0.161
Pm1 Pm 0.000 0.500 0.159
Pm2 Pm 0.000 0.500 0.500
Mg1 Mg 0.000 0.000 0.500

***

2 | # La2Pm3Mg, optimized geometry, DFT PBE
# N(E_F): 30.80 states/eV/cell
# magnetization: 0.0 μB per cell
data_La2Pm3Mg
_cell_length_a 15.821
_cell_length_b 9.377
_cell_length_c 5.821
_cell_angle_alpha 90.00
_cell_angle_beta 90.00
_cell_angle_gamma 90.00
_symmetry_space_group_name_H-M 'C m c m'
_symmetry_Int_Tables_number 63
_symmetry_space_group_name_Hall '-C 2c 2'
loop_
_atom_site_label
_atom_site_type_symbol
_atom_site_fract_x
_atom_site_fract_y
_atom_site_fract_z
La1 La 0.101 0.124 0.250
Pm1 Pm 0.000 0.440 0.250
Pm2 Pm 0.249 0.377 0.250
Mg1 Mg 0.000 0.216 0.750

***

Pick 1: it beats the second-best structure by 4.9 kJ/mol of atoms.

***

1 | # La3PmMg, optimized geometry, DFT PBE
# N(E_F): 12.81 states/eV/cell
# magnetization: 0.0 μB per cell
data_La3PmMg
_cell_length_a 3.879
_cell_length_b 9.568
_cell_length_c 10.067
_cell_angle_alpha 90.00
_cell_angle_beta 101.09
_cell_angle_gamma 90.00
_symmetry_space_group_name_H-M 'P 1 21/m 1'
_symmetry_Int_Tables_number 11
_symmetry_space_group_name_Hall '-P 2yb'
loop_
_atom_site_label
_atom_site_type_symbol
_atom_site_fract_x
_atom_site_fract_y
_atom_site_fract_z
La1 La 0.095 0.003 0.190
La2 La 0.302 0.250 0.607
Pm1 Pm 0.494 0.250 0.986
Mg1 Mg 0.334 0.750 0.666

***

2 | # La3PmMg, optimized geometry, DFT PBE
# N(E_F): 29.64 states/eV/cell
# magnetization: 0.0 μB per cell
data_La3PmMg
_cell_length_a 20.100
_cell_length_b 3.826
_cell_length_c 9.185
_cell_angle_alpha 90.00
_cell_angle_beta 103.90
_cell_angle_gamma 90.00
_symmetry_space_group_name_H-M 'C 1 2/m 1'
_symmetry_Int_Tables_number 12
_symmetry_space_group_name_Hall '-C 2y'
loop_
_atom_site_label
_atom_site_type_symbol
_atom_site_fract_x
_atom_site_fract_y
_atom_site_fract_z
La1 La 0.003 0.000 0.266
La2 La 0.188 0.000 0.372
La3 La 0.205 0.000 0.831
Pm1 Pm 0.098 0.500 0.039
Mg1 Mg 0.097 0.500 0.562

***

Pick 2: it beats the second-best structure by 16.9 kJ/mol of atoms.

***

1 | # LaPm3Mg, optimized geometry, DFT PBE
# N(E_F): 27.83 states/eV/cell
# magnetization: 0.0 μB per cell
data_LaPm3Mg
_cell_length_a 11.649
_cell_length_b 5.378
_cell_length_c 10.569
_cell_angle_alpha 90.00
_cell_angle_beta 96.47
_cell_angle_gamma 90.00
_symmetry_space_group_name_H-M 'C 1 2/m 1'
_symmetry_Int_Tables_number 12
_symmetry_space_group_name_Hall '-C 2y'
loop_
_atom_site_label
_atom_site_type_symbol
_atom_site_fract_x
_atom_site_fract_y
_atom_site_fract_z
La1 La 0.157 0.000 0.054
Pm1 Pm 0.032 0.500 0.836
Pm2 Pm 0.085 0.000 0.376
Pm3 Pm 0.228 0.000 0.723
Mg1 Mg 0.126 0.500 0.551

***

2 | # LaPm3Mg, optimized geometry, DFT PBE
# N(E_F): 29.02 states/eV/cell
# magnetization: 0.0 μB per cell
data_LaPm3Mg
_cell_length_a 13.438
_cell_length_b 3.794
_cell_length_c 13.048
_cell_angle_alpha 90.00
_cell_angle_beta 93.45
_cell_angle_gamma 90.00
_symmetry_space_group_name_H-M 'C 1 2/m 1'
_symmetry_Int_Tables_number 12
_symmetry_space_group_name_Hall '-C 2y'
loop_
_atom_site_label
_atom_site_type_symbol
_atom_site_fract_x
_atom_site_fract_y
_atom_site_fract_z
La1 La 0.232 0.000 0.255
Pm1 Pm 0.038 0.000 0.688
Pm2 Pm 0.134 0.500 0.474
Pm3 Pm 0.149 0.000 0.945
Mg1 Mg 0.053 0.500 0.124

***

Pick 2: it beats the second-best structure by 0.8 kJ/mol of atoms.

***

1 | # La2Pm2Mg, optimized geometry, DFT PBE
# N(E_F): 16.00 states/eV/cell
# magnetization: 0.6 μB per cell
data_La2Pm2Mg
_cell_length_a 4.518
_cell_length_b 4.518
_cell_length_c 18.142
_cell_angle_alpha 90.00
_cell_angle_beta 90.00
_cell_angle_gamma 90.00
_symmetry_space_group_name_H-M 'I 4/m m m'
_symmetry_Int_Tables_number 139
_symmetry_space_group_name_Hall '-I 4 2'
loop_
_atom_site_label
_atom_site_type_symbol
_atom_site_fract_x
_atom_site_fract_y
_atom_site_fract_z
La1 La 0.000 0.000 0.090
Pm1 Pm 0.000 0.500 0.250
Mg1 Mg 0.000 0.000 0.500

***

2 | # La2Pm2Mg, optimized geometry, DFT PBE
# N(E_F): 14.44 states/eV/cell
# magnetization: 0.0 μB per cell
data_La2Pm2Mg
_cell_length_a 3.766
_cell_length_b 3.766
_cell_length_c 23.559
_cell_angle_alpha 90.00
_cell_angle_beta 90.00
_cell_angle_gamma 90.00
_symmetry_space_group_name_H-M 'I 4/m m m'
_symmetry_Int_Tables_number 139
_symmetry_space_group_name_Hall '-I 4 2'
loop_
_atom_site_label
_atom_site_type_symbol
_atom_site_fract_x
_atom_site_fract_y
_atom_site_fract_z
La1 La 0.000 0.000 0.194
Pm1 Pm 0.000 0.000 0.414
Mg1 Mg 0.000 0.000 0.000

***

Pick 2: it beats the second-best structure by 35.4 kJ/mol of atoms.

***

1 | # LaPr8Mg2, optimized geometry, DFT PBE
# N(E_F): 29.48 states/eV/cell
# magnetization: 0.0 μB per cell
data_LaPr8Mg2
_cell_length_a 9.065
_cell_length_b 16.109
_cell_length_c 5.995
_cell_angle_alpha 90.00
_cell_angle_beta 118.79
_cell_angle_gamma 90.00
_symmetry_space_group_name_H-M 'C 1 2/m 1'
_symmetry_Int_Tables_number 12
_symmetry_space_group_name_Hall '-C 2y'
loop_
_atom_site_label
_atom_site_type_symbol
_atom_site_fract_x
_atom_site_fract_y
_atom_site_fract_z
La1 La 0.000 0.000 0.000
Pr1 Pr 0.000 0.212 0.000
Pr2 Pr 0.087 0.500 0.793
Pr3 Pr 0.213 0.116 0.647
Mg1 Mg 0.000 0.308 0.500

***

2 | # LaPr8Mg2, optimized geometry, DFT PBE
# N(E_F): 31.36 states/eV/cell
# magnetization: 0.0 μB per cell
data_LaPr8Mg2
_cell_length_a 17.578
_cell_length_b 5.418
_cell_length_c 8.543
_cell_angle_alpha 90.00
_cell_angle_beta 112.21
_cell_angle_gamma 90.00
_symmetry_space_group_name_H-M 'C 1 2/m 1'
_symmetry_Int_Tables_number 12
_symmetry_space_group_name_Hall '-C 2y'
loop_
_atom_site_label
_atom_site_type_symbol
_atom_site_fract_x
_atom_site_fract_y
_atom_site_fract_z
La1 La 0.000 0.000 0.000
Pr1 Pr 0.051 0.500 0.735
Pr2 Pr 0.099 0.000 0.468
Pr3 Pr 0.147 0.500 0.204
Pr4 Pr 0.186 0.000 0.950
Mg1 Mg 0.226 0.500 0.631

***

Pick 2: it beats the second-best structure by 9.5 kJ/mol of atoms.